No. 1
GeB3Rh | Alexandria via LeMat-Bulk | GGA-PBE | optimized geometry; space-group type = Pm-3m (221); excess energy over the best structure of this formula in the dataset = 0 meV per atom; energy of formation = 1.198 eV per atom; volume = 13.8 Å³ per atom
1.0
4.099 0.000 0.000
0.000 4.099 0.000
0.000 0.000 4.099
Ge B Rh
1 3 1
direct
0.000 0.000 0.000
0.000 0.500 0.500
0.500 0.000 0.500
0.500 0.500 0.000
0.500 0.500 0.500

***

No. 2
PrInSn3 | Alexandria via LeMat-Bulk | GGA-PBE | optimized geometry; space-group type = Pbcm (57); excess energy over the best structure of this formula in the dataset = 0 meV per atom; energy of formation = -0.326 eV per atom; volume = 28.0 Å³ per atom
1.0
13.367 0.000 0.000
0.000 6.412 0.000
0.000 0.000 6.526
Pr In Sn
4 4 12
direct
0.191 0.008 0.250
0.191 0.492 0.750
0.809 0.508 0.250
0.809 0.992 0.750
0.385 0.250 0.000
0.385 0.250 0.500
0.615 0.750 0.000
0.615 0.750 0.500
0.001 0.250 0.000
0.001 0.250 0.500
0.216 0.511 0.250
0.216 0.989 0.750
0.418 0.710 0.750
0.418 0.790 0.250
0.582 0.210 0.750
0.582 0.290 0.250
0.784 0.011 0.250
0.784 0.489 0.750
0.999 0.750 0.000
0.999 0.750 0.500

***

No. 3
MgCCl2 | Alexandria via LeMat-Bulk | GGA-PBE | optimized geometry; space-group type = I-42d (122); excess energy over the best structure of this formula in the dataset = 244 meV per atom; volume = 19.6 Å³ per atom; raw formation energy = 0.76 eV/atom
1.0
-2.287 2.287 7.477
2.287 -2.287 7.477
2.287 2.287 -7.477
Mg C Cl
2 2 4
direct
0.000 0.000 0.000
0.750 0.250 0.500
0.250 0.750 0.500
0.500 0.500 0.000
0.138 0.625 0.013
0.375 0.388 0.513
0.612 0.125 0.987
0.875 0.862 0.487

***

No. 4
CaBi3Pd3 | Alexandria via LeMat-Bulk | GGA-PBE | optimized geometry; space-group type = R-3 (148); excess energy over the best structure of this formula in the dataset = 53 meV per atom; energy of formation = -0.388 eV per atom; volume = 25.1 Å³ per atom
1.0
4.283 2.473 5.525
-4.283 2.473 5.525
0.000 -4.946 5.525
Ca Bi Pd
2 6 6
direct
0.168 0.168 0.168
0.832 0.832 0.832
0.137 0.403 0.680
0.320 0.863 0.597
0.403 0.680 0.137
0.597 0.320 0.863
0.680 0.137 0.403
0.863 0.597 0.320
0.035 0.819 0.428
0.181 0.572 0.965
0.428 0.035 0.819
0.572 0.965 0.181
0.819 0.428 0.035
0.965 0.181 0.572

***

No. 5
CaTaSe2 | Alexandria via LeMat-Bulk | GGA-PBE | optimized geometry; space-group type = P4mm (99); excess energy over the best structure of this formula in the dataset = 486 meV per atom; volume = 25.0 Å³ per atom; raw formation energy = -0.38 eV/atom
1.0
3.297 0.000 0.000
0.000 3.297 0.000
0.000 0.000 9.183
Ca Ta Se
1 1 2
direct
0.000 0.000 0.000
0.500 0.500 0.701
0.000 0.000 0.568
0.500 0.500 0.199

***

No. 6
TaNi5Pt6 | Alexandria via LeMat-Bulk | GGA-PBE | optimized geometry; space-group type = Cmmm (65); energy of formation = -0.308 eV per atom; volume = 13.9 Å³ per atom
1.0
1.944 -5.785 0.000
1.944 5.785 0.000
0.000 0.000 7.436
Ta Ni Pt
1 5 6
direct
0.000 0.000 0.000
0.000 0.000 0.500
0.334 0.666 0.000
0.338 0.662 0.500
0.662 0.338 0.500
0.666 0.334 0.000
0.168 0.832 0.254
0.168 0.832 0.746
0.500 0.500 0.251
0.500 0.500 0.749
0.832 0.168 0.254
0.832 0.168 0.746

***

- volume of number 1 (GeB3Rh)?
  13.8 Å³ per atom